(i)
VASP calculation (PBE) on YTaSe2 after structural relaxation.

Calculated values
Fermi-level density of states = 0.5067 states/eV per atom
Density = 6.45 g cm⁻³
SG = I-42d (122)

abc: 5.5919 5.5919 14.0874
angles: 90.00 90.00 90.00
Fractional positions:
Y (0.0000, 0.0000, 0.0000)
Y (0.0000, 0.5000, 0.2500)
Y (0.5000, 0.0000, 0.7500)
Y (0.5000, 0.5000, 0.5000)
Ta (0.0000, 0.0000, 0.5000)
Ta (0.0000, 0.5000, 0.7500)
Ta (0.5000, 0.0000, 0.2500)
Ta (0.5000, 0.5000, 0.0000)
Se (0.2009, 0.2500, 0.6250)
Se (0.2500, 0.7009, 0.8750)
Se (0.2500, 0.7991, 0.3750)
Se (0.2991, 0.2500, 0.1250)
Se (0.7009, 0.7500, 0.1250)
Se (0.7500, 0.2009, 0.3750)
Se (0.7500, 0.2991, 0.8750)
Se (0.7991, 0.7500, 0.6250)

(ii)
VASP calculation (PBE) on YTaSe2 after structural relaxation.

Calculated values
Fermi-level density of states = 0.7619 states/eV per atom
Density = 8.50 g cm⁻³
SG = C2/m (12)

abc: 7.9201 3.5877 6.1134
angles: 90.00 105.75 90.00
Fractional positions:
Y (0.0000, 0.0000, 0.0000)
Y (0.5000, 0.5000, 0.0000)
Ta (0.0000, 0.5000, 0.5000)
Ta (0.5000, 0.0000, 0.5000)
Se (0.2413, 0.0000, 0.7142)
Se (0.2587, 0.5000, 0.2858)
Se (0.7413, 0.5000, 0.7142)
Se (0.7587, 0.0000, 0.2858)

(iii)
VASP calculation (PBE) on YTaSe2 after structural relaxation.

Calculated values
Fermi-level density of states = 0.3285 states/eV per atom
Density = 7.78 g cm⁻³
SG = Cm (8)

abc: 8.7654 3.5036 6.2296
angles: 90.00 107.43 90.00
Fractional positions:
Y (0.0000, 0.0000, 0.0000)
Y (0.5000, 0.5000, 0.0000)
Ta (0.2613, 0.0000, 0.5914)
Ta (0.7613, 0.5000, 0.5914)
Se (0.0640, 0.5000, 0.6485)
Se (0.2662, 0.5000, 0.2649)
Se (0.5640, 0.0000, 0.6485)
Se (0.7662, 0.0000, 0.2649)

Short version: (iii) is the most stable of them.

(i)
VASP calculation (PBE) on YTa3Se after structural relaxation.

Calculated values
Fermi-level density of states = 0.9357 states/eV per atom
Density = 9.55 g cm⁻³
SG = Pm-3m (221)

abc: 4.9804 4.9804 4.9804
angles: 90.00 90.00 90.00
Fractional positions:
Y (0.0000, 0.0000, 0.0000)
Ta (0.0000, 0.0000, 0.5000)
Ta (0.0000, 0.5000, 0.0000)
Ta (0.5000, 0.0000, 0.0000)
Se (0.5000, 0.5000, 0.5000)

(ii)
VASP calculation (PBE) on YTa3Se after structural relaxation.

Calculated values
Fermi-level density of states = 1.0144 states/eV per atom
Density = 10.55 g cm⁻³
SG = Pm-3m (221)

abc: 4.8187 4.8187 4.8187
angles: 90.00 90.00 90.00
Fractional positions:
Y (0.0000, 0.0000, 0.0000)
Ta (0.0000, 0.5000, 0.5000)
Ta (0.5000, 0.0000, 0.5000)
Ta (0.5000, 0.5000, 0.0000)
Se (0.5000, 0.5000, 0.5000)

Short version: (ii) is the most stable of them.

(i)
VASP calculation (PBE) on Y3TaSe after structural relaxation.

Calculated values
Fermi-level density of states = 0.8713 states/eV per atom
Density = 5.38 g cm⁻³
SG = Pm-3m (221)

abc: 5.4588 5.4588 5.4588
angles: 90.00 90.00 90.00
Fractional positions:
Y (0.0000, 0.0000, 0.5000)
Y (0.0000, 0.5000, 0.0000)
Y (0.5000, 0.0000, 0.0000)
Ta (0.0000, 0.0000, 0.0000)
Se (0.5000, 0.5000, 0.5000)

(ii)
VASP calculation (PBE) on Y3TaSe after structural relaxation.

Calculated values
Fermi-level density of states = 1.2772 states/eV per atom
Density = 5.91 g cm⁻³
SG = Pm-3m (221)

abc: 5.2895 5.2895 5.2895
angles: 90.00 90.00 90.00
Fractional positions:
Y (0.0000, 0.0000, 0.5000)
Y (0.0000, 0.5000, 0.0000)
Y (0.5000, 0.0000, 0.0000)
Ta (0.5000, 0.5000, 0.5000)
Se (0.0000, 0.0000, 0.0000)

Short version: (ii) is the most stable of them.

(i)
VASP calculation (PBE) on TaZn3Se after structural relaxation.

Calculated values
Fermi-level density of states = 0.8634 states/eV per atom
Density = 7.02 g cm⁻³
SG = Pm-3m (221)

abc: 4.7604 4.7604 4.7604
angles: 90.00 90.00 90.00
Fractional positions:
Ta (0.0000, 0.0000, 0.0000)
Zn (0.0000, 0.5000, 0.5000)
Zn (0.5000, 0.0000, 0.5000)
Zn (0.5000, 0.5000, 0.0000)
Se (0.5000, 0.5000, 0.5000)

(ii)
VASP calculation (PBE) on TaZn3Se after structural relaxation.

Calculated values
Fermi-level density of states = 0.8158 states/eV per atom
Density = 5.77 g cm⁻³
SG = Pm-3m (221)

abc: 5.0821 5.0821 5.0821
angles: 90.00 90.00 90.00
Fractional positions:
Ta (0.0000, 0.0000, 0.0000)
Zn (0.0000, 0.0000, 0.5000)
Zn (0.0000, 0.5000, 0.0000)
Zn (0.5000, 0.0000, 0.0000)
Se (0.5000, 0.5000, 0.5000)

Short version: (ii) is the most stable of them.

(i)
VASP calculation (PBE) on TaZnSe3 after structural relaxation.

Calculated values
Fermi-level density of states = 0.9260 states/eV per atom
Density = 6.23 g cm⁻³
SG = Pm-3m (221)

abc: 5.0513 5.0513 5.0513
angles: 90.00 90.00 90.00
Fractional positions:
Ta (0.0000, 0.0000, 0.0000)
Zn (0.5000, 0.5000, 0.5000)
Se (0.0000, 0.0000, 0.5000)
Se (0.0000, 0.5000, 0.0000)
Se (0.5000, 0.0000, 0.0000)

(ii)
VASP calculation (PBE) on TaZnSe3 after structural relaxation.

Calculated values
Fermi-level density of states = 1.4008 states/eV per atom
Density = 7.41 g cm⁻³
SG = Pm-3m (221)

abc: 4.7674 4.7674 4.7674
angles: 90.00 90.00 90.00
Fractional positions:
Ta (0.0000, 0.0000, 0.0000)
Zn (0.5000, 0.5000, 0.5000)
Se (0.0000, 0.5000, 0.5000)
Se (0.5000, 0.0000, 0.5000)
Se (0.5000, 0.5000, 0.0000)

Short version: (i) is the most stable of them.

(i)
VASP calculation (PBE) on ZrTa2Se6 after structural relaxation.

Calculated values
Fermi-level density of states = 0.2035 states/eV per atom
Density = 6.50 g cm⁻³
SG = C2/m (12)

abc: 6.7932 6.7932 9.3055
angles: 119.10 119.10 40.10
Fractional positions:
Zr (0.0000, 0.0000, 0.0000)
Ta (0.1396, 0.1396, 0.5736)
Ta (0.8604, 0.8604, 0.4264)
Se (0.0348, 0.0348, 0.7338)
Se (0.2945, 0.2945, 0.4437)
Se (0.3560, 0.3560, 0.8764)
Se (0.6440, 0.6440, 0.1236)
Se (0.7055, 0.7055, 0.5563)
Se (0.9652, 0.9652, 0.2662)

(ii)
VASP calculation (PBE) on ZrTa2Se6 after structural relaxation.

Calculated values
Fermi-level density of states = 0.4882 states/eV per atom
Density = 6.82 g cm⁻³
SG = C2/m (12)

abc: 7.5976 7.5976 9.2285
angles: 111.88 111.88 27.28
Fractional positions:
Zr (0.0000, 0.0000, 0.0000)
Ta (0.3311, 0.3311, 0.6628)
Ta (0.6689, 0.6689, 0.3372)
Se (0.0334, 0.0334, 0.3095)
Se (0.3043, 0.3043, 0.3659)
Se (0.3566, 0.3566, 0.9600)
Se (0.6434, 0.6434, 0.0400)
Se (0.6957, 0.6957, 0.6341)
Se (0.9666, 0.9666, 0.6905)

Short version: (ii) is the most stable of them.

(i)
VASP calculation (PBE) on ZrTaSe after structural relaxation.

Calculated values
Fermi-level density of states = 1.1554 states/eV per atom
Density = 9.90 g cm⁻³
SG = P-6m2 (187)

abc: 4.5921 4.5921 3.2244
angles: 90.00 90.00 120.00
Fractional positions:
Zr (0.0000, 0.0000, 0.0000)
Ta (0.3333, 0.6667, 0.5000)
Se (0.6667, 0.3333, 0.5000)

(ii)
VASP calculation (PBE) on ZrTaSe after structural relaxation.

Calculated values
Fermi-level density of states = 0.9178 states/eV per atom
Density = 10.00 g cm⁻³
SG = Cm (8)

abc: 11.6655 3.2017 3.1939
angles: 90.00 102.11 90.00
Fractional positions:
Zr (0.0000, 0.0000, 0.0000)
Zr (0.5000, 0.5000, 0.0000)
Ta (0.3045, 0.0000, 0.2228)
Ta (0.8045, 0.5000, 0.2228)
Se (0.1757, 0.5000, 0.6249)
Se (0.6757, 0.0000, 0.6249)

(iii)
VASP calculation (PBE) on ZrTaSe after structural relaxation.

Calculated values
Fermi-level density of states = 0.7781 states/eV per atom
Density = 9.97 g cm⁻³
SG = Fmm2 (42)

abc: 3.6900 5.1006 12.4228
angles: 90.00 90.00 90.00
Fractional positions:
Zr (0.0000, 0.0000, 0.0000)
Zr (0.0000, 0.5000, 0.5000)
Zr (0.5000, 0.0000, 0.5000)
Zr (0.5000, 0.5000, 0.0000)
Ta (0.0000, 0.0000, 0.6831)
Ta (0.0000, 0.5000, 0.1831)
Ta (0.5000, 0.0000, 0.1831)
Ta (0.5000, 0.5000, 0.6831)
Se (0.0000, 0.0000, 0.3374)
Se (0.0000, 0.5000, 0.8374)
Se (0.5000, 0.0000, 0.8374)
Se (0.5000, 0.5000, 0.3374)

Short version: (ii) is the most stable of them.

(i)
VASP calculation (PBE) on ZrTaSe after structural relaxation.

Calculated values
Fermi-level density of states = 0.6291 states/eV per atom
Density = 9.37 g cm⁻³
SG = F-43m (216)

abc: 6.2896 6.2896 6.2896
angles: 90.00 90.00 90.00
Fractional positions:
Zr (0.0000, 0.0000, 0.0000)
Zr (0.0000, 0.5000, 0.5000)
Zr (0.5000, 0.0000, 0.5000)
Zr (0.5000, 0.5000, 0.0000)
Ta (0.0000, 0.0000, 0.5000)
Ta (0.0000, 0.5000, 0.0000)
Ta (0.5000, 0.0000, 0.0000)
Ta (0.5000, 0.5000, 0.5000)
Se (0.2500, 0.2500, 0.2500)
Se (0.2500, 0.7500, 0.7500)
Se (0.7500, 0.2500, 0.7500)
Se (0.7500, 0.7500, 0.2500)

(ii)
VASP calculation (PBE) on ZrTaSe after structural relaxation.

Calculated values
Fermi-level density of states = 0.8618 states/eV per atom
Density = 9.44 g cm⁻³
SG = P4/nmm (129)

abc: 3.5437 3.5437 9.8414
angles: 90.00 90.00 90.00
Fractional positions:
Zr (0.2500, 0.2500, 0.2434)
Zr (0.7500, 0.7500, 0.7566)
Ta (0.2500, 0.2500, 0.5719)
Ta (0.7500, 0.7500, 0.4281)
Se (0.2500, 0.2500, 0.8641)
Se (0.7500, 0.7500, 0.1359)

Short version: (ii) is the most stable of them.

(i)
VASP calculation (PBE) on ZrTaSe3 after structural relaxation.

Calculated values
Fermi-level density of states = 1.2116 states/eV per atom
Density = 6.82 g cm⁻³
SG = Pm-3m (221)

abc: 4.9870 4.9870 4.9870
angles: 90.00 90.00 90.00
Fractional positions:
Zr (0.0000, 0.0000, 0.0000)
Ta (0.5000, 0.5000, 0.5000)
Se (0.0000, 0.5000, 0.5000)
Se (0.5000, 0.0000, 0.5000)
Se (0.5000, 0.5000, 0.0000)

(ii)
VASP calculation (PBE) on ZrTaSe3 after structural relaxation.

Calculated values
Fermi-level density of states = 0.7304 states/eV per atom
Density = 6.25 g cm⁻³
SG = Pm-3m (221)

abc: 5.1321 5.1321 5.1321
angles: 90.00 90.00 90.00
Fractional positions:
Zr (0.0000, 0.0000, 0.0000)
Ta (0.5000, 0.5000, 0.5000)
Se (0.0000, 0.0000, 0.5000)
Se (0.0000, 0.5000, 0.0000)
Se (0.5000, 0.0000, 0.0000)

Short version: (i) is the most stable of them.

(i)
VASP calculation (PBE) on Tb3Se after structural relaxation.

Calculated values
Fermi-level density of states = 1.2439 states/eV per atom
Density = 8.86 g cm⁻³
SG = Pm-3m (221)

abc: 4.7054 4.7054 4.7054
angles: 90.00 90.00 90.00
Fractional positions:
Tb (0.0000, 0.0000, 0.5000)
Tb (0.0000, 0.5000, 0.0000)
Tb (0.5000, 0.0000, 0.0000)
Se (0.5000, 0.5000, 0.5000)

(ii)
VASP calculation (PBE) on Tb3Se after structural relaxation.

Calculated values
Fermi-level density of states = 1.0999 states/eV per atom
Density = 7.49 g cm⁻³
SG = Pmm2 (25)

abc: 3.6423 3.6623 9.2382
angles: 90.00 90.00 90.00
Fractional positions:
Tb (0.0000, 0.0000, 0.0000)
Tb (0.0000, 0.5000, 0.3946)
Tb (0.5000, 0.5000, 0.7339)
Se (0.5000, 0.0000, 0.2530)

(iii)
VASP calculation (PBE) on Tb3Se after structural relaxation.

Calculated values
Fermi-level density of states = 1.1930 states/eV per atom
Density = 8.11 g cm⁻³
SG = Imm2 (44)

abc: 3.6965 9.5925 6.4217
angles: 90.00 90.00 90.00
Fractional positions:
Tb (0.0000, 0.0000, 0.0000)
Tb (0.0000, 0.1946, 0.5706)
Tb (0.0000, 0.8054, 0.5706)
Tb (0.5000, 0.3054, 0.0706)
Tb (0.5000, 0.5000, 0.5000)
Tb (0.5000, 0.6946, 0.0706)
Se (0.0000, 0.5000, 0.8389)
Se (0.5000, 0.0000, 0.3389)

Short version: (iii) is the most stable of them.

(i)
VASP calculation (PBE) on Tb3Se4 after structural relaxation.

Calculated values
Fermi-level density of states = 0.3774 states/eV per atom
Density = 6.90 g cm⁻³
SG = I4/mmm (139)

abc: 5.7740 5.7740 11.4407
angles: 90.00 90.00 90.00
Fractional positions:
Tb (0.0000, 0.0000, 0.0000)
Tb (0.0000, 0.5000, 0.2500)
Tb (0.0000, 0.5000, 0.7500)
Tb (0.5000, 0.0000, 0.2500)
Tb (0.5000, 0.0000, 0.7500)
Tb (0.5000, 0.5000, 0.5000)
Se (0.0000, 0.0000, 0.2528)
Se (0.0000, 0.0000, 0.7472)
Se (0.0000, 0.5000, 0.0000)
Se (0.0000, 0.5000, 0.5000)
Se (0.5000, 0.0000, 0.0000)
Se (0.5000, 0.0000, 0.5000)
Se (0.5000, 0.5000, 0.2472)
Se (0.5000, 0.5000, 0.7528)

(ii)
VASP calculation (PBE) on Tb3Se4 after structural relaxation.

Calculated values
Fermi-level density of states = 0.6284 states/eV per atom
Density = 7.94 g cm⁻³
SG = I-43d (220)

abc: 7.5525 7.5525 7.5525
angles: 109.47 109.47 109.47
Fractional positions:
Tb (0.1250, 0.7500, 0.8750)
Tb (0.2500, 0.6250, 0.3750)
Tb (0.3750, 0.2500, 0.6250)
Tb (0.6250, 0.3750, 0.2500)
Tb (0.7500, 0.8750, 0.1250)
Tb (0.8750, 0.1250, 0.7500)
Se (0.0000, 0.3563, 0.5000)
Se (0.0000, 0.8563, 0.5000)
Se (0.1437, 0.1437, 0.1437)
Se (0.3563, 0.5000, 0.0000)
Se (0.5000, 0.0000, 0.3563)
Se (0.5000, 0.0000, 0.8563)
Se (0.6437, 0.6437, 0.6437)
Se (0.8563, 0.5000, 0.0000)

Short version: (i) is the most stable of them.

(i)
VASP calculation (PBE) on Tb3Se2 after structural relaxation.

Calculated values
Fermi-level density of states = 0.9562 states/eV per atom
Density = 7.59 g cm⁻³
SG = R-3c (167)

abc: 7.7322 7.7322 7.7322
angles: 53.55 53.55 53.55
Fractional positions:
Tb (0.0815, 0.7500, 0.4185)
Tb (0.2500, 0.5815, 0.9185)
Tb (0.4185, 0.0815, 0.7500)
Tb (0.5815, 0.9185, 0.2500)
Tb (0.7500, 0.4185, 0.0815)
Tb (0.9185, 0.2500, 0.5815)
Se (0.1632, 0.1632, 0.1632)
Se (0.3368, 0.3368, 0.3368)
Se (0.6632, 0.6632, 0.6632)
Se (0.8368, 0.8368, 0.8368)

(ii)
VASP calculation (PBE) on Tb3Se2 after structural relaxation.

Calculated values
Fermi-level density of states = 0.7089 states/eV per atom
Density = 7.83 g cm⁻³
SG = R-3m (166)

abc: 3.9426 3.9426 30.0125
angles: 90.00 90.00 120.00
Fractional positions:
Tb (0.0000, 0.0000, 0.0000)
Tb (0.0000, 0.0000, 0.2134)
Tb (0.0000, 0.0000, 0.7866)
Tb (0.3333, 0.6667, 0.4533)
Tb (0.3333, 0.6667, 0.6667)
Tb (0.3333, 0.6667, 0.8800)
Tb (0.6667, 0.3333, 0.1200)
Tb (0.6667, 0.3333, 0.3333)
Tb (0.6667, 0.3333, 0.5467)
Se (0.0000, 0.0000, 0.3919)
Se (0.0000, 0.0000, 0.6081)
Se (0.3333, 0.6667, 0.0586)
Se (0.3333, 0.6667, 0.2748)
Se (0.6667, 0.3333, 0.7252)
Se (0.6667, 0.3333, 0.9414)

Short version: (ii) is the most stable of them.